Entry 1:
An optimized crystal structure of Pm4InHg2Ru. Source: the Alexandria database, functional PBE.

The structure in POSCAR format:
```
Pm4InHg2Ru
1.0
5.318 0.000 0.000
2.659 4.606 0.000
2.659 1.535 8.541
Pm In Hg Ru
4 1 2 1
Direct
0.133 0.133 0.601
0.867 0.867 0.399
0.388 0.388 0.837
0.612 0.612 0.163
0.000 0.000 0.000
0.261 0.261 0.217
0.739 0.739 0.783
0.500 0.500 0.500
```

Energy of formation = -0.418 eV per atom
Symmetry = No. 166
Total energy = -34.97 eV for the cell shown

=====

Entry 2:
An optimized crystal structure of PmSc2In2Hg2. Source: the Alexandria database, functional PBE.

The structure in POSCAR format:
```
PmSc2In2Hg2
1.0
4.821 0.000 0.000
2.411 4.175 0.000
2.411 1.392 8.648
In Hg Pm Sc
2 2 1 2
Direct
0.736 0.736 0.793
0.264 0.264 0.207
0.438 0.438 0.685
0.562 0.562 0.315
0.000 0.000 0.000
0.136 0.136 0.591
0.864 0.864 0.409
```

Energy of formation = -0.289 eV per atom
Symmetry = No. 166
Total energy = -25.51 eV for the cell shown

=====

Entry 3:
An optimized crystal structure of PmSc2InHg4. Source: the Alexandria database, functional PBE.

The structure in POSCAR format:
```
PmSc2InHg4
1.0
-2.420 -3.993 1.641
-1.408 -3.521 -3.181
6.662 -6.804 0.733
Sc In Hg Pm
2 1 4 1
Direct
0.763 0.763 0.710
0.237 0.237 0.290
0.500 0.500 0.500
0.616 0.616 0.151
0.880 0.880 0.361
0.120 0.120 0.639
0.384 0.384 0.849
0.000 0.000 0.000
```

Energy of formation = -0.328 eV per atom
Symmetry = No. 166
Total energy = -23.98 eV for the cell shown

=====

Entry 4:
An optimized crystal structure of PmSmInHg. Source: the Alexandria database, functional PBE.

The structure in POSCAR format:
```
PmSmInHg
1.0
5.424 0.000 0.000
2.712 4.697 0.000
2.712 1.566 4.428
Sm In Pm Hg
1 1 1 1
Direct
0.500 0.500 0.500
0.250 0.250 0.250
0.000 0.000 0.000
0.750 0.750 0.750
```

Energy of formation = -0.474 eV per atom
Symmetry = No. 216
Total energy = -14.41 eV for the cell shown

=====

Entry 5:
An optimized crystal structure of Pm2SmIn2Hg2. Source: the Alexandria database, functional PBE.

The structure in POSCAR format:
```
Pm2SmIn2Hg2
1.0
-0.333 -2.690 4.164
-2.070 -4.515 -0.118
7.381 -6.106 -0.391
Sm Hg Pm In
1 2 2 2
Direct
0.000 0.000 0.000
0.582 0.582 0.253
0.418 0.418 0.747
0.870 0.870 0.390
0.130 0.130 0.610
0.269 0.269 0.193
0.731 0.731 0.807
```

Energy of formation = -0.300 eV per atom
Symmetry = No. 166
Total energy = -22.40 eV for the cell shown

=====

Entry 6:
An optimized crystal structure of Pm3Sm3InHg2. Source: the Alexandria database, functional PBE.

The structure in POSCAR format:
```
Pm3Sm3InHg2
1.0
-1.262 0.534 -3.570
-0.556 -8.939 -1.139
-7.087 4.593 3.192
Sm Hg Pm In
3 2 3 1
Direct
0.000 0.382 0.000
0.000 0.000 0.382
0.000 0.618 0.618
0.500 0.667 0.333
0.500 0.333 0.667
0.500 0.000 0.711
0.500 0.711 0.000
0.500 0.289 0.289
0.000 0.000 0.000
```

Energy of formation = -0.278 eV per atom
Symmetry = No. 189
Total energy = -34.25 eV for the cell shown